# Ce3B2Cl3O6 | Alexandria via LeMat-Bulk | GGA-PBEsol | relaxed
data_Ce3B2Cl3O6
_chemical_formula_sum 'Ce6 B4 Cl6 O12'
_cell_length_a 9.109
_cell_length_b 9.109
_cell_length_c 5.681
_cell_angle_alpha 90.00
_cell_angle_beta 90.00
_cell_angle_gamma 120.00
_symmetry_space_group_name_H-M 'P 1'
_symmetry_Int_Tables_number 1
loop_
_symmetry_equiv_pos_as_xyz
'x,y,z'
loop_
_atom_site_label
_atom_site_type_symbol
_atom_site_fract_x
_atom_site_fract_y
_atom_site_fract_z
_atom_site_occupancy
Ce1 Ce 0.054 0.386 0.250 1
Ce2 Ce 0.332 0.946 0.250 1
Ce3 Ce 0.386 0.332 0.750 1
Ce4 Ce 0.614 0.668 0.250 1
Ce5 Ce 0.668 0.054 0.750 1
Ce6 Ce 0.946 0.614 0.750 1
B1 B 0.333 0.667 0.516 1
B2 B 0.333 0.667 0.984 1
B3 B 0.667 0.333 0.016 1
B4 B 0.667 0.333 0.484 1
Cl1 Cl 0.038 0.239 0.750 1
Cl2 Cl 0.200 0.962 0.750 1
Cl3 Cl 0.239 0.200 0.250 1
Cl4 Cl 0.761 0.800 0.750 1
Cl5 Cl 0.800 0.038 0.250 1
Cl6 Cl 0.962 0.761 0.250 1
O1 O 0.169 0.635 0.000 1
O2 O 0.169 0.635 0.500 1
O3 O 0.365 0.534 0.000 1
O4 O 0.365 0.534 0.500 1
O5 O 0.466 0.831 0.000 1
O6 O 0.466 0.831 0.500 1
O7 O 0.534 0.169 0.000 1
O8 O 0.534 0.169 0.500 1
O9 O 0.635 0.466 0.000 1
O10 O 0.635 0.466 0.500 1
O11 O 0.831 0.365 0.000 1
O12 O 0.831 0.365 0.500 1
# total DFT energy (no corrections): -219.348 eV for the cell shown
# SG: No. 176
# volume: 14.579 Å³/atom
# E_form (uncorrected): -2.7382 eV/atom